w | A plane-wave DFT calculation with PBE-GGA was carried out for crystalline NaZnIr3 at its relaxed geometry.

As for the total moment: 0.0 μB/f.u.

It has space group Pm-3m (No. 221), with a = 4.6092 Å, b = 4.6092 Å, c = 4.6092 Å, α = 90.00°, β = 90.00° and γ = 90.00°. The inequivalent atoms are Na at (0.0000, 0.0000, 0.0000), Zn at (0.5000, 0.5000, 0.5000) and Ir at (0.0000, 0.5000, 0.5000).

---

x | A plane-wave DFT calculation with PBE-GGA was carried out for crystalline NaZnIr3 at its relaxed geometry.

As for the total moment: 0.0 μB/f.u.

It has space group Pm-3m (No. 221), with a = 4.4881 Å, b = 4.4881 Å, c = 4.4881 Å, α = 90.00°, β = 90.00° and γ = 90.00°. The inequivalent atoms are Na at (0.0000, 0.0000, 0.0000), Zn at (0.5000, 0.5000, 0.5000) and Ir at (0.0000, 0.0000, 0.5000).

---

Most stable: w (next structure +831 meV per atom)

---

w | A plane-wave DFT calculation with PBE-GGA was carried out for crystalline NaZr2Ir2 at its relaxed geometry.

As for the total moment: 0.0 μB/f.u.

It has space group P4/mbm (No. 127), with a = 8.0370 Å, b = 8.0370 Å, c = 3.0643 Å, α = 90.00°, β = 90.00° and γ = 90.00°. The inequivalent atoms are Na at (0.0000, 0.0000, 0.0000), Zr at (0.1468, 0.3532, 0.0000) and Ir at (0.1449, 0.6449, 0.5000).

---

x | A plane-wave DFT calculation with PBE-GGA was carried out for crystalline NaZr2Ir2 at its relaxed geometry.

As for the total moment: 0.0 μB/f.u.

It has space group P4/mbm (No. 127), with a = 7.9791 Å, b = 7.9791 Å, c = 3.1093 Å, α = 90.00°, β = 90.00° and γ = 90.00°. The inequivalent atoms are Na at (0.0000, 0.0000, 0.0000), Zr at (0.1519, 0.3481, 0.5000) and Ir at (0.1396, 0.6396, 0.0000).

---

Most stable: x (next structure +51 meV per atom)

---

w | A plane-wave DFT calculation with PBE-GGA was carried out for crystalline Na2ZrIr2 at its relaxed geometry.

As for the total moment: 0.0 μB/f.u.

It has space group I4/mmm (No. 139), with a = 3.4839 Å, b = 3.4839 Å, c = 15.2455 Å, α = 90.00°, β = 90.00° and γ = 90.00°. The inequivalent atoms are Na at (0.0000, 0.5000, 0.2500), Zr at (0.0000, 0.0000, 0.0000) and Ir at (0.0000, 0.0000, 0.4068).

---

x | A plane-wave DFT calculation with PBE-GGA was carried out for crystalline Na2ZrIr2 at its relaxed geometry.

As for the total moment: 0.0 μB/f.u.

It has space group P4/mbm (No. 127), with a = 6.6225 Å, b = 6.6225 Å, c = 5.0558 Å, α = 90.00°, β = 90.00° and γ = 90.00°. The inequivalent atoms are Na at (0.1644, 0.3356, 0.0000), Zr at (0.0000, 0.0000, 0.5000) and Ir at (0.1323, 0.6323, 0.5000).

---

Most stable: x (next structure +22 meV per atom)

---

w | A plane-wave DFT calculation with PBE-GGA was carried out for crystalline Nb5Ir at its relaxed geometry.

As for the total moment: 0.0 μB/f.u.

It has space group Cmmm (No. 65), with a = 4.6180 Å, b = 13.7508 Å, c = 3.2977 Å, α = 90.00°, β = 90.00° and γ = 90.00°. The inequivalent atoms are Nb at (0.0000, 0.0000, 0.0000), Nb at (0.0000, 0.1644, 0.5000), Nb at (0.0000, 0.3356, 0.0000) and Ir at (0.0000, 0.5000, 0.5000).

---

x | A plane-wave DFT calculation with PBE-GGA was carried out for crystalline Nb5Ir at its relaxed geometry.

As for the total moment: 0.0 μB/f.u.

It has space group Cmmm (No. 65), with a = 4.5985 Å, b = 9.8660 Å, c = 4.6097 Å, α = 90.00°, β = 90.00° and γ = 90.00°. The inequivalent atoms are Nb at (0.0000, 0.0000, 0.0000), Nb at (0.0000, 0.1643, 0.5000), Nb at (0.0000, 0.3352, 0.0000) and Ir at (0.0000, 0.5000, 0.5000).

---

Most stable: x (next structure +17 meV per atom)

---

w | A plane-wave DFT calculation with PBE-GGA was carried out for crystalline NbNi2Ir2 at its relaxed geometry.

As for the total moment: 0.0 μB/f.u.

It has space group P4/mbm (No. 127), with a = 7.1172 Å, b = 7.1172 Å, c = 2.7899 Å, α = 90.00°, β = 90.00° and γ = 90.00°. The inequivalent atoms are Nb at (0.0000, 0.0000, 0.0000), Ni at (0.1675, 0.3325, 0.5000) and Ir at (0.1306, 0.6306, 0.0000).

---

x | A plane-wave DFT calculation with PBE-GGA was carried out for crystalline NbNi2Ir2 at its relaxed geometry.

As for the total moment: 0.0 μB/f.u.

It has space group P4/mbm (No. 127), with a = 7.0549 Å, b = 7.0549 Å, c = 2.7867 Å, α = 90.00°, β = 90.00° and γ = 90.00°. The inequivalent atoms are Nb at (0.0000, 0.0000, 0.0000), Ni at (0.1225, 0.3775, 0.0000) and Ir at (0.1737, 0.6737, 0.5000).

---

Most stable: x (next structure +69 meV per atom)

---

w | A plane-wave DFT calculation with PBE-GGA was carried out for crystalline NbNiIr3 at its relaxed geometry.

As for the total moment: 1.2 μB/f.u.

It has space group Pm-3m (No. 221), with a = 4.4135 Å, b = 4.4135 Å, c = 4.4135 Å, α = 90.00°, β = 90.00° and γ = 90.00°. The inequivalent atoms are Nb at (0.0000, 0.0000, 0.0000), Ni at (0.5000, 0.5000, 0.5000) and Ir at (0.0000, 0.5000, 0.5000).

---

x | A plane-wave DFT calculation with PBE-GGA was carried out for crystalline NbNiIr3 at its relaxed geometry.

As for the total moment: 1.4 μB/f.u.

It has space group Pm-3m (No. 221), with a = 4.7439 Å, b = 4.7439 Å, c = 4.7439 Å, α = 90.00°, β = 90.00° and γ = 90.00°. The inequivalent atoms are Nb at (0.0000, 0.0000, 0.0000), Ni at (0.5000, 0.5000, 0.5000) and Ir at (0.0000, 0.0000, 0.5000).

---

Most stable: w (next structure +685 meV per atom)

---

w | A plane-wave DFT calculation with PBE-GGA was carried out for crystalline NpNbIr2 at its relaxed geometry.

As for the total moment: 3.0 μB/f.u.

It has space group R-3m (No. 166, hexagonal axes), with a = 2.8222 Å, b = 2.8222 Å, c = 29.4229 Å, α = 90.00°, β = 90.00° and γ = 120.00°. The inequivalent atoms are Np at (0.0000, 0.0000, 0.0000), Nb at (0.0000, 0.0000, 0.5000) and Ir at (0.0000, 0.0000, 0.2444).

---

x | A plane-wave DFT calculation with PBE-GGA was carried out for crystalline NpNbIr2 at its relaxed geometry.

As for the total moment: 3.2 μB/f.u.

It has space group P4/mmm (No. 123), with a = 2.9488 Å, b = 2.9488 Å, c = 8.0228 Å, α = 90.00°, β = 90.00° and γ = 90.00°. The inequivalent atoms are Np at (0.0000, 0.0000, 0.0000), Nb at (0.0000, 0.0000, 0.5000) and Ir at (0.5000, 0.5000, 0.2694).

---

y | A plane-wave DFT calculation with PBE-GGA was carried out for crystalline NpNbIr2 at its relaxed geometry.

As for the total moment: 0.7 μB/f.u.

It has space group P4/mmm (No. 123), with a = 4.1327 Å, b = 4.1327 Å, c = 4.0209 Å, α = 90.00°, β = 90.00° and γ = 90.00°. The inequivalent atoms are Np at (0.0000, 0.0000, 0.0000), Nb at (0.5000, 0.5000, 0.0000) and Ir at (0.0000, 0.5000, 0.5000).

---

Most stable: x (next structure +57 meV per atom)

---

w | A plane-wave DFT calculation with PBE-GGA was carried out for crystalline NpNbIr at its relaxed geometry.

As for the total moment: 3.3 μB/f.u.

It has space group I4mm (No. 107), with a = 3.4681 Å, b = 3.4681 Å, c = 9.3828 Å, α = 90.00°, β = 90.00° and γ = 90.00°. The inequivalent atoms are Np at (0.0000, 0.0000, 0.0000), Nb at (0.0000, 0.0000, 0.3169) and Ir at (0.0000, 0.0000, 0.6532).

---

x | A plane-wave DFT calculation with PBE-GGA was carried out for crystalline NpNbIr at its relaxed geometry.

As for the total moment: 2.2 μB/f.u.

It has space group P4/nmm (No. 129, origin choice 2), with a = 3.7306 Å, b = 3.7306 Å, c = 7.9845 Å, α = 90.00°, β = 90.00° and γ = 90.00°. The inequivalent atoms are Np at (0.2500, 0.7500, 0.0000), Nb at (0.2500, 0.2500, 0.3734) and Ir at (0.2500, 0.2500, 0.6941).

---

Most stable: x (next structure +85 meV per atom)

---

w | A plane-wave DFT calculation with PBE-GGA was carried out for crystalline NpNb2Ir at its relaxed geometry.

As for the total moment: 3.6 μB/f.u.

It has space group Fm-3m (No. 225), with a = 6.5974 Å, b = 6.5974 Å, c = 6.5974 Å, α = 90.00°, β = 90.00° and γ = 90.00°. The inequivalent atoms are Np at (0.0000, 0.0000, 0.0000), Nb at (0.2500, 0.2500, 0.2500) and Ir at (0.0000, 0.0000, 0.5000).

---

x | A plane-wave DFT calculation with PBE-GGA was carried out for crystalline NpNb2Ir at its relaxed geometry.

As for the total moment: 3.0 μB/f.u.

It has space group P4/mmm (No. 123), with a = 4.8608 Å, b = 4.8608 Å, c = 3.0106 Å, α = 90.00°, β = 90.00° and γ = 90.00°. The inequivalent atoms are Np at (0.0000, 0.0000, 0.0000), Nb at (0.0000, 0.5000, 0.5000) and Ir at (0.5000, 0.5000, 0.0000).

---

Most stable: x (next structure +131 meV per atom)

---

w | A plane-wave DFT calculation with PBE-GGA was carried out for crystalline NbIrO2 at its relaxed geometry.

As for the total moment: 0.0 μB/f.u.

It has space group I-42d (No. 122), with a = 3.9043 Å, b = 3.9043 Å, c = 13.1291 Å, α = 90.00°, β = 90.00° and γ = 90.00°. The inequivalent atoms are Nb at (0.0000, 0.0000, 0.0000), Ir at (0.0000, 0.0000, 0.5000) and O at (0.2317, 0.2500, 0.1250).

---

x | A plane-wave DFT calculation with PBE-GGA was carried out for crystalline NbIrO2 at its relaxed geometry.

As for the total moment: 0.0 μB/f.u.

It has space group R-3m (No. 166, hexagonal axes), with a = 2.8231 Å, b = 2.8231 Å, c = 20.4413 Å, α = 90.00°, β = 90.00° and γ = 120.00°. The inequivalent atoms are Nb at (0.0000, 0.0000, 0.0000), Ir at (0.0000, 0.0000, 0.5000) and O at (0.0000, 0.0000, 0.4014).

---

Most stable: x (next structure +394 meV per atom)

---

w | A plane-wave DFT calculation with PBE-GGA was carried out for crystalline NbIrO2 at its relaxed geometry.

As for the total moment: 0.0 μB/f.u.

It has space group R-3m (No. 166, hexagonal axes), with a = 3.2807 Å, b = 3.2807 Å, c = 17.4530 Å, α = 90.00°, β = 90.00° and γ = 120.00°. The inequivalent atoms are Nb at (0.0000, 0.0000, 0.0000), Ir at (0.0000, 0.0000, 0.5000) and O at (0.0000, 0.0000, 0.1190).

---

x | A plane-wave DFT calculation with PBE-GGA was carried out for crystalline NbIrO2 at its relaxed geometry.

As for the total moment: 0.0 μB/f.u.

It has space group Fm-3m (No. 225), with a = 5.6537 Å, b = 5.6537 Å, c = 5.6537 Å, α = 90.00°, β = 90.00° and γ = 90.00°. The inequivalent atoms are Nb at (0.0000, 0.0000, 0.0000), Ir at (0.0000, 0.0000, 0.5000) and O at (0.2500, 0.2500, 0.2500).

---

Most stable: w (next structure +254 meV per atom)

---

w | A plane-wave DFT calculation with PBE-GGA was carried out for crystalline NbP2IrO at its relaxed geometry.

As for the total moment: 0.0 μB/f.u.

It has space group P4/mmm (No. 123), with a = 4.8949 Å, b = 4.8949 Å, c = 3.7551 Å, α = 90.00°, β = 90.00° and γ = 90.00°. The inequivalent atoms are Nb at (0.0000, 0.0000, 0.0000), P at (0.0000, 0.5000, 0.0000), Ir at (0.5000, 0.5000, 0.5000) and O at (0.0000, 0.0000, 0.5000).

---

x | A plane-wave DFT calculation with PBE-GGA was carried out for crystalline NbP2IrO at its relaxed geometry.

As for the total moment: 1.2 μB/f.u.

It has space group P4/mmm (No. 123), with a = 4.7910 Å, b = 4.7910 Å, c = 3.6395 Å, α = 90.00°, β = 90.00° and γ = 90.00°. The inequivalent atoms are Nb at (0.0000, 0.0000, 0.0000), P at (0.0000, 0.5000, 0.5000), Ir at (0.5000, 0.5000, 0.5000) and O at (0.5000, 0.5000, 0.0000).

---

Most stable: w (next structure +47 meV per atom)